Record 1
KAgPd | PBE-GGA | relaxed

Output
E above lowest polymorph = 79.94 kJ per mole of atoms

Cell lengths 4.949, 4.949, 4.949 Å; angles 60.00, 60.00, 60.00 degrees
Sites, in units of the cell vectors:
Ag 0.250 0.250 0.250
K 0.000 0.000 0.000
Pd 0.750 0.750 0.750

=====

Record 2
Nb4FeC2S | PBE-GGA | relaxed

Output
Total DFT energy (no corrections) = -9.34 eV per atom

Cell lengths 3.189, 3.189, 12.439 Å; angles 90.00, 90.00, 120.00 degrees
Site moments in Bohr magnetons follow the coordinates.
Sites, in units of the cell vectors:
S 0.667 0.333 0.000  0.00
Nb 0.333 0.667 0.145  0.01
Nb 0.667 0.333 0.342  -0.14
Nb 0.667 0.333 0.658  -0.14
Nb 0.333 0.667 0.855  0.02
C 0.000 0.000 0.246  0.00
C 0.000 0.000 0.754  0.00
Fe 0.333 0.667 0.500  1.82

=====

Record 3
PmErPa | PBE-GGA | relaxed

Output
E above lowest polymorph = 0.00 kJ per mole of atoms
Energy relative to the elements = 1083 meV per atom

Cell lengths 5.273, 5.273, 5.273 Å; angles 60.00, 60.00, 60.00 degrees
Sites, in units of the cell vectors:
Er 0.000 0.000 0.000
Pm 0.750 0.750 0.750
Pa 0.250 0.250 0.250